GGA+U Rb5W18O54, relaxed; calculated total energy = -560.77 eV for the cell shown; spin magnetization = 0.33 μB/f.u.; crystal system = hexagonal; space-group type = P6/mmm (191); DOS at the Fermi energy = 0.056 states/eV/atom
1.0
7.5301 0.0000 0.0000
-3.7651 6.5213 0.0000
0.0000 0.0000 23.2472
Rb W O
5 18 54
direct
0.0000 0.0000 0.0000
0.0000 0.0000 0.1756
0.0000 0.0000 0.3606
0.0000 0.0000 0.6394
0.0000 0.0000 0.8244
0.0000 0.5000 0.0834
0.0000 0.5000 0.2504
0.0000 0.5000 0.4172
0.0000 0.5000 0.5828
0.0000 0.5000 0.7496
0.0000 0.5000 0.9166
0.5000 0.0000 0.0834
0.5000 0.0000 0.2504
0.5000 0.0000 0.4172
0.5000 0.0000 0.5828
0.5000 0.0000 0.7496
0.5000 0.0000 0.9166
0.5000 0.5000 0.0834
0.5000 0.5000 0.2504
0.5000 0.5000 0.4172
0.5000 0.5000 0.5828
0.5000 0.5000 0.7496
0.5000 0.5000 0.9166
0.0000 0.5000 0.0000
0.0000 0.5000 0.1669
0.0000 0.5000 0.3328
0.0000 0.5000 0.5000
0.0000 0.5000 0.6672
0.0000 0.5000 0.8331
0.2106 0.4212 0.0834
0.2106 0.4212 0.9166
0.2109 0.4217 0.2496
0.2109 0.4217 0.7504
0.2106 0.7894 0.0834
0.2109 0.7891 0.2496
0.2109 0.7891 0.7504
0.2106 0.7894 0.9166
0.2118 0.4236 0.4160
0.2118 0.4236 0.5840
0.2118 0.7882 0.4160
0.2118 0.7882 0.5840
0.4212 0.2106 0.0834
0.4212 0.2106 0.9166
0.4217 0.2109 0.2496
0.4217 0.2109 0.7504
0.4236 0.2118 0.4160
0.4236 0.2118 0.5840
0.5000 0.0000 0.0000
0.5000 0.0000 0.1669
0.5000 0.0000 0.3328
0.5000 0.0000 0.5000
0.5000 0.0000 0.6672
0.5000 0.0000 0.8331
0.5000 0.5000 0.0000
0.5000 0.5000 0.1669
0.5000 0.5000 0.3328
0.5000 0.5000 0.5000
0.5000 0.5000 0.6672
0.5000 0.5000 0.8331
0.5764 0.7882 0.4160
0.5764 0.7882 0.5840
0.5783 0.7891 0.2496
0.5783 0.7891 0.7504
0.5788 0.7894 0.0834
0.5788 0.7894 0.9166
0.7882 0.2118 0.4160
0.7882 0.2118 0.5840
0.7882 0.5764 0.4160
0.7882 0.5764 0.5840
0.7894 0.2106 0.0834
0.7891 0.2109 0.2496
0.7891 0.2109 0.7504
0.7894 0.2106 0.9166
0.7891 0.5783 0.2496
0.7891 0.5783 0.7504
0.7894 0.5788 0.0834
0.7894 0.5788 0.9166